*i*
Here is crystalline BaLa2Ge2 at its relaxed geometry from the Alexandria database. Energies are from PBE-GGA.

a = 5.656 Å, b = 5.656 Å, c = 7.129 Å
α = 66.63°, β = 66.63°, γ = 90.00°
Site moments in Bohr magnetons follow the coordinates.
Fractional positions:
Ge 0.750 0.250 0.500  -0.01
Ge 0.250 0.750 0.500  -0.01
Ba 0.000 0.000 0.000  0.04
La 0.328 0.328 0.344  0.12
La 0.672 0.672 0.656  0.12

Calculated values
* total magnetization: 0.9 μB/f.u.

---

*ii*
Here is crystalline BaLa2Ge2 at its relaxed geometry from the Alexandria database. Energies are from PBE-GGA.

a = 4.945 Å, b = 4.945 Å, c = 7.467 Å
α = 70.66°, β = 70.66°, γ = 90.00°
Fractional positions:
Ge 0.400 0.400 0.199
Ge 0.600 0.600 0.801
Ba 0.000 0.000 0.000
La 0.750 0.250 0.500
La 0.250 0.750 0.500

Calculated values
* total magnetization: 0.0 μB/f.u.

---

Best to worst by energy: *ii*, *i*.

---

*i*
Here is crystalline BaLaGe3 at its relaxed geometry from the Alexandria database. Energies are from PBE-GGA.

a = 5.579 Å, b = 5.579 Å, c = 5.579 Å
α = 90.00°, β = 90.00°, γ = 90.00°
Fractional positions:
Ge 0.000 0.500 0.000
Ge 0.000 0.000 0.500
Ge 0.500 0.000 0.000
Ba 0.000 0.000 0.000
La 0.500 0.500 0.500

Calculated values
* total magnetization: 0.0 μB/f.u.

---

*ii*
Here is crystalline BaLaGe3 at its relaxed geometry from the Alexandria database. Energies are from PBE-GGA.

a = 5.657 Å, b = 5.657 Å, c = 5.657 Å
α = 90.00°, β = 90.00°, γ = 90.00°
Fractional positions:
Ge 0.000 0.500 0.000
Ge 0.000 0.000 0.500
Ge 0.500 0.000 0.000
Ba 0.500 0.500 0.500
La 0.000 0.000 0.000

Calculated values
* total magnetization: 0.0 μB/f.u.

---

Best to worst by energy: *ii*, *i*.

---

*i*
Here is crystalline BaLi3Ge at its relaxed geometry from the Alexandria database. Energies are from PBE-GGA.

a = 5.399 Å, b = 5.399 Å, c = 5.399 Å
α = 90.00°, β = 90.00°, γ = 90.00°
Fractional positions:
Ge 0.500 0.500 0.500
Ba 0.000 0.000 0.000
Li 0.000 0.500 0.000
Li 0.000 0.000 0.500
Li 0.500 0.000 0.000

Calculated values
* total magnetization: 0.0 μB/f.u.

---

*ii*
Here is crystalline BaLi3Ge at its relaxed geometry from the Alexandria database. Energies are from PBE-GGA.

a = 4.615 Å, b = 7.987 Å, c = 7.509 Å
α = 74.77°, β = 90.00°, γ = 90.00°
Fractional positions:
Ba 0.381 0.564 0.226
Ba 0.881 0.111 0.579
Li 0.881 0.714 0.511
Li 0.381 0.960 0.295
Li 0.881 0.712 0.866
Li 0.882 0.211 0.034
Li 0.382 0.464 0.771
Li 0.381 0.963 0.940
Ge 0.381 0.799 0.663
Ge 0.881 0.875 0.143

Calculated values
* total magnetization: 0.0 μB/f.u.

---

*iii*
Here is crystalline BaLi3Ge at its relaxed geometry from the Alexandria database. Energies are from PBE-GGA.

a = 4.991 Å, b = 5.183 Å, c = 11.243 Å
α = 76.67°, β = 90.00°, γ = 90.00°
Fractional positions:
Ba 0.750 0.397 0.207
Ba 0.250 0.603 0.793
Li 0.750 0.445 0.583
Li 0.750 0.972 0.583
Li 0.250 0.028 0.417
Li 0.250 0.555 0.417
Li 0.000 0.000 0.000
Li 0.500 0.000 0.000
Ge 0.750 0.102 0.797
Ge 0.250 0.898 0.203

Calculated values
* total magnetization: 0.0 μB/f.u.

---

Best to worst by energy: *ii*, *iii*, *i*.

---

*i*
Here is crystalline Ba3LiGe at its relaxed geometry from the Alexandria database. Energies are from PBE-GGA.

a = 6.524 Å, b = 6.524 Å, c = 6.524 Å
α = 90.00°, β = 90.00°, γ = 90.00°
Fractional positions:
Ge 0.000 0.000 0.000
Ba 0.000 0.500 0.000
Ba 0.000 0.000 0.500
Ba 0.500 0.000 0.000
Li 0.500 0.500 0.500

Calculated values
* total magnetization: 0.0 μB/f.u.

---

*ii*
Here is crystalline Ba3LiGe at its relaxed geometry from the Alexandria database. Energies are from PBE-GGA.

a = 5.420 Å, b = 7.484 Å, c = 11.565 Å
α = 108.05°, β = 76.43°, γ = 111.25°
Fractional positions:
Ba 0.025 0.248 0.376
Ba 0.303 0.007 0.578
Ba 0.741 0.147 0.844
Ba 0.019 0.906 0.046
Ba 0.305 0.495 0.063
Ba 0.739 0.659 0.359
Li 0.276 0.577 0.711
Li 0.771 0.578 0.711
Ge 0.419 0.937 0.275
Ge 0.624 0.217 0.146

Calculated values
* total magnetization: 0.0 μB/f.u.

---

Best to worst by energy: *ii*, *i*.

---

*i*
Here is crystalline BaLi2Ge2 at its relaxed geometry from the Alexandria database. Energies are from PBE-GGA.

a = 8.323 Å, b = 8.323 Å, c = 3.461 Å
α = 90.00°, β = 90.00°, γ = 90.00°
Site moments in Bohr magnetons follow the coordinates.
Fractional positions:
Ge 0.390 0.890 0.000  0.00
Ge 0.890 0.610 0.000  0.00
Ge 0.610 0.110 0.000  0.00
Ge 0.110 0.390 0.000  0.00
Ba 0.000 0.000 0.000  0.16
Ba 0.500 0.500 0.000  0.16
Li 0.155 0.655 0.500  0.01
Li 0.655 0.845 0.500  0.01
Li 0.845 0.345 0.500  0.01
Li 0.345 0.155 0.500  0.01

Calculated values
* total magnetization: 0.5 μB/f.u.

---

*ii*
Here is crystalline BaLi2Ge2 at its relaxed geometry from the Alexandria database. Energies are from PBE-GGA.

a = 8.409 Å, b = 8.409 Å, c = 3.106 Å
α = 90.00°, β = 90.00°, γ = 90.00°
Fractional positions:
Ge 0.167 0.667 0.500
Ge 0.667 0.833 0.500
Ge 0.833 0.333 0.500
Ge 0.333 0.167 0.500
Ba 0.000 0.000 0.000
Ba 0.500 0.500 0.000
Li 0.382 0.882 0.000
Li 0.882 0.618 0.000
Li 0.618 0.118 0.000
Li 0.118 0.382 0.000

Calculated values
* total magnetization: 0.0 μB/f.u.

---

Best to worst by energy: *ii*, *i*.

---

*i*
Here is crystalline Ba4LiGe4O12 at its relaxed geometry from the Alexandria database. Energies are from PBE-GGA.

a = 4.830 Å, b = 5.770 Å, c = 13.161 Å
α = 88.79°, β = 87.93°, γ = 90.12°
Site moments in Bohr magnetons follow the coordinates.
Fractional positions:
Ba 0.768 0.261 0.885  0.01
Ba 0.209 0.297 0.155  0.01
Ba 0.244 0.701 0.639  0.00
Ba 0.765 0.801 0.365  0.00
Li 0.310 0.235 0.737  0.01
Ge 0.235 0.754 0.904  0.22
Ge 0.708 0.778 0.076  0.00
Ge 0.787 0.169 0.580  0.00
Ge 0.304 0.303 0.436  0.00
O 0.266 0.480 0.837  0.05
O 0.736 0.083 0.088  0.00
O 0.739 0.870 0.578  0.00
O 0.245 0.598 0.419  0.00
O 0.162 0.968 0.798  0.16
O 0.804 0.614 0.184  0.01
O 0.673 0.328 0.683  0.00
O 0.234 0.111 0.340  0.00
O 0.676 0.283 0.458  0.00
O 0.164 0.216 0.565  0.00
O 0.363 0.680 0.051  0.15
O 0.871 0.699 0.955  0.03

Calculated values
* total magnetization: 1.0 μB/f.u.

---

*ii*
Here is crystalline Ba4LiGe4O12 at its relaxed geometry from the Alexandria database. Energies are from PBE-GGA.

a = 4.733 Å, b = 5.962 Å, c = 12.991 Å
α = 88.25°, β = 89.66°, γ = 88.78°
Site moments in Bohr magnetons follow the coordinates.
Fractional positions:
Ba 0.746 0.215 0.852  0.01
Ba 0.240 0.332 0.138  0.00
Ba 0.290 0.696 0.647  0.01
Ba 0.800 0.879 0.341  0.01
Li 0.828 0.536 0.519  0.01
Ge 0.198 0.727 0.924  0.00
Ge 0.694 0.820 0.078  0.00
Ge 0.795 0.126 0.591  0.20
Ge 0.301 0.282 0.437  0.01
O 0.255 0.439 0.906  0.00
O 0.751 0.099 0.108  0.00
O 0.738 0.836 0.544  0.17
O 0.183 0.563 0.437  0.00
O 0.270 0.923 0.825  0.01
O 0.763 0.613 0.172  0.00
O 0.769 0.402 0.662  0.19
O 0.261 0.129 0.324  0.00
O 0.679 0.269 0.462  0.01
O 0.181 0.137 0.554  0.02
O 0.314 0.801 0.052  0.00
O 0.817 0.761 0.948  0.00

Calculated values
* total magnetization: 1.0 μB/f.u.

---

Best to worst by energy: *i*, *ii*.